The following is a DFT calculation (PBE) of HfTlBi2F after structural relaxation.

## Properties
VASP energy, eV/atom: -5.19
N(E_F), states/eV/f.u.: 3.34
Total magnetic moment, μB per cell: 0.000

a b c (Å): 5.847 5.847 4.135
angles (deg): 90.00 90.00 90.00
Space group P4/mmm (No. 123)
One atom of each set of equivalent atoms:
Hf 0.000 0.000 0.000 x1
Tl 0.500 0.500 0.500 x1
Bi 0.000 0.500 0.000 x2
F 0.000 0.000 0.500 x1